Record 1
Compound: BeCrPd
Source: the Alexandria database
Functional: GGA-PBE
Structure: relaxed

The structure in extended XYZ format:
```
6
Lattice="6.1338 -1.3638 0.0000 6.1338 1.3638 0.0000 -0.5274 0.0000 4.2555" Properties=species:S:1:pos:R:3 pbc="T T T"
Be 0.0000 0.0000 0.0000
Be 1.5309 0.0000 2.6954
Cr 4.2385 0.0000 0.8386
Cr 5.7564 0.0000 2.1054
Pd 7.9905 0.0000 0.5574
Pd 9.6327 0.0000 2.9223
```

Values from the calculation:
ΔE_f: -0.091 eV/atom
Polymorph energy (0 for the lowest one): 149 meV per atom
Calculated volume: 71.2 Å³/cell
Space group: Cm (8)
N(E_F): 3.287 states/eV per cell

---

Record 2
Compound: BeCrPd
Source: the Alexandria database
Functional: GGA-PBE
Structure: relaxed

The structure in extended XYZ format:
```
6
Lattice="2.8716 0.0000 0.0000 0.0000 2.8821 0.0000 -0.1496 0.0000 8.4966" Properties=species:S:1:pos:R:3 pbc="T T T"
Be 0.6493 0.7205 1.9777
Be 2.0727 2.1616 6.5189
Cr 0.6446 0.7205 7.9340
Cr 2.0773 2.1616 0.5626
Pd 0.6401 0.7205 5.2730
Pd 2.0819 2.1616 3.2236
```

Values from the calculation:
ΔE_f: -0.211 eV/atom
Polymorph energy (0 for the lowest one): 29 meV per atom
Calculated volume: 70.3 Å³/cell
Space group: P2_1/m (11)
N(E_F): 4.618 states/eV per cell

---

Record 3
Compound: BeCrPd
Source: the Alexandria database
Functional: GGA-PBE
Structure: relaxed

The structure in extended XYZ format:
```
6
Lattice="2.8157 0.0000 0.0000 1.3974 4.2288 0.0000 1.4066 1.0082 5.9447" Properties=species:S:1:pos:R:3 pbc="T T T"
Be 1.4012 1.9364 2.0728
Be 4.2185 3.3006 3.8719
Cr 2.8142 3.9367 5.7591
Cr 2.8055 1.3003 0.1856
Pd 2.8116 3.8338 2.0030
Pd 2.8080 1.4032 3.9417
```

Values from the calculation:
ΔE_f: -0.124 eV/atom
Polymorph energy (0 for the lowest one): 116 meV per atom
Calculated volume: 70.8 Å³/cell
Space group: P-1 (2)
N(E_F): 6.370 states/eV per cell

---

Record 4
Compound: BeCrPd
Source: the Alexandria database
Functional: GGA-PBE
Structure: relaxed

The structure in extended XYZ format:
```
6
Lattice="4.6675 0.0000 0.0000 0.0000 2.0933 3.6317 0.0000 -2.0933 3.6317" Properties=species:S:1:pos:R:3 pbc="T T T"
Be 0.0000 0.0000 0.0000
Be 2.3337 0.0000 2.4153
Cr 0.9970 0.0000 4.8403
Cr 3.6704 0.0000 4.8403
Pd 0.0000 0.0000 2.4216
Pd 2.3337 0.0000 7.2597
```

Values from the calculation:
ΔE_f: -0.112 eV/atom
Polymorph energy (0 for the lowest one): 127 meV per atom
Calculated volume: 71.0 Å³/cell
Space group: Amm2 (38)
N(E_F): 4.756 states/eV per cell

---

Record 5
Compound: BeCrPd
Source: the Alexandria database
Functional: GGA-PBE
Structure: relaxed

The structure in extended XYZ format:
```
12
Lattice="5.5046 0.0000 0.0000 0.0000 2.9259 0.0000 0.0000 0.0000 8.8228" Properties=species:S:1:pos:R:3 pbc="T T T"
Be 0.7535 0.7315 2.0580
Be 1.9988 2.1944 6.4694
Be 3.5058 0.7315 2.3534
Be 4.7511 2.1944 6.7648
Cr 0.6020 0.7315 8.2818
Cr 2.1504 2.1944 3.8704
Cr 3.3543 0.7315 4.9524
Cr 4.9027 2.1944 0.5410
Pd 0.5325 0.7315 5.4738
Pd 2.2199 2.1944 1.0624
Pd 3.2848 0.7315 7.7604
Pd 4.9722 2.1944 3.3490
```

Values from the calculation:
ΔE_f: -0.157 eV/atom
Polymorph energy (0 for the lowest one): 82 meV per atom
Calculated volume: 142.1 Å³/cell
Space group: Pnma (62)
N(E_F): 7.740 states/eV per cell

---

Record 6
Compound: BeCrPd
Source: the Alexandria database
Functional: GGA-PBE
Structure: relaxed

The structure in extended XYZ format:
```
6
Lattice="3.7604 0.0000 0.0000 -1.8802 3.2566 0.0000 0.0000 0.0000 9.5095" Properties=species:S:1:pos:R:3 pbc="T T T"
Be 0.0000 2.1710 2.3774
Be 1.8802 1.0855 7.1321
Cr 0.0000 0.0000 2.3774
Cr 0.0000 0.0000 7.1321
Pd 0.0000 0.0000 0.0000
Pd 0.0000 0.0000 4.7547
```

Values from the calculation:
ΔE_f: 1.622 eV/atom
Polymorph energy (0 for the lowest one): 1862 meV per atom
Calculated volume: 116.5 Å³/cell
Space group: P6_3/mmc (194)
N(E_F): 8.822 states/eV per cell